Here is LiNd3Sm4Te8 after structural relaxation from Alexandria via LeMat-Bulk. Energies are from GGA-PBE. Values from VASP.

Cell and atoms, written as Quantum ESPRESSO input:
```
&SYSTEM
  ibrav = 0, nat = 16, ntyp = 4
/
ATOMIC_SPECIES
Sm 150.36 Sm.upf
Te 127.60 Te.upf
Nd 144.24 Nd.upf
Li 6.94 Li.upf
ATOMIC_POSITIONS angstrom
Sm 4.4531 0.0000 0.0000
Sm 2.2265 -2.2246 3.1499
Sm 0.0000 0.0000 0.0000
Sm -2.2265 -2.2246 3.1499
Te 0.0000 -0.0239 3.1298
Te 4.4531 4.4772 3.1616
Te 2.1597 6.6347 0.0114
Te 0.0000 4.4771 3.0678
Te 6.7465 6.6347 0.0114
Te 4.4531 -0.0238 3.2236
Te 2.2934 -2.1814 6.2800
Te -2.2934 -2.1814 6.2800
Nd 2.2265 2.2266 3.1457
Nd -2.2265 2.2266 3.1457
Nd 4.4531 4.4512 -0.0043
Li 0.0000 4.4512 -0.0043
CELL_PARAMETERS angstrom
8.9062 0.0000 0.0000
0.0000 8.9025 -0.0085
-4.4531 -4.4492 6.2999
```

* SG: R-3m (166)
* final energy: -5.148 eV/atom